Computed, not measured: an optimized crystal structure of Cd8SnAu2 at the GGA-PBE level of DFT.

a b c (Å): 4.4734 7.4449 7.8816
angles (deg): 102.76 106.49 90.00
Atoms (fractional coordinates):
Cd  0.6077  0.4895  0.2154
Cd  0.3168  0.0746  0.6335
Cd  0.1542  0.2525  0.3083
Cd  0.0374  0.7214  0.0747
Cd  0.8458  0.7475  0.6917
Cd  0.6832  0.9254  0.3665
Cd  0.3923  0.5105  0.7846
Cd  0.9626  0.2786  0.9253
Sn  0.5000  0.0000  0.0000
Au  0.2217  0.6822  0.4434
Au  0.7783  0.3178  0.5566

Results
The total energy comes out at -18.42 eV for the cell shown. Its space group is C2/m, No. 12. The energy relative to the elements is -0.0494 eV/atom.

Computed, not measured: an optimized crystal structure of Cd5SnAu2 at the GGA-PBE level of DFT.

a b c (Å): 3.5335 7.3284 7.3284
angles (deg): 79.59 76.05 76.05
Atoms (fractional coordinates):
Cd  0.0000  0.5000  0.5000
Cd  0.6389  0.5732  0.1490
Cd  0.3611  0.4268  0.8510
Cd  0.3611  0.8510  0.4268
Cd  0.6389  0.1490  0.5732
Sn  0.0000  0.0000  0.0000
Au  0.7249  0.7751  0.7751
Au  0.2751  0.2249  0.2249

Results
The total energy comes out at -15.83 eV for the cell shown. Its space group is Immm, No. 71. The energy relative to the elements is -0.0867 eV/atom.

Computed, not measured: an optimized crystal structure of Cd4SnAu7 at the GGA-PBE level of DFT.

a b c (Å): 5.2873 9.4043 6.0019
angles (deg): 81.82 63.87 73.67
Atoms (fractional coordinates):
Cd  0.5993  0.2267  0.5747
Cd  0.4007  0.7733  0.4253
Cd  0.7684  0.6574  0.8058
Cd  0.2316  0.3426  0.1942
Sn  0.0000  0.0000  0.0000
Au  0.7879  0.9137  0.5104
Au  0.2121  0.0863  0.4896
Au  0.0680  0.6739  0.1902
Au  0.9320  0.3261  0.8098
Au  0.3627  0.5211  0.7536
Au  0.5000  0.0000  0.0000
Au  0.6373  0.4789  0.2464

Results
The total energy comes out at -31.64 eV for the cell shown. Its space group is C2/m, No. 12. The energy relative to the elements is -0.0863 eV/atom.

Computed, not measured: an optimized crystal structure of CdSnAu4 at the GGA-PBE level of DFT.

a b c (Å): 4.5080 4.5082 8.7704
angles (deg): 55.88 55.88 68.37
Atoms (fractional coordinates):
Cd  0.5000  0.5000  0.5000
Sn  0.0000  0.0000  0.0000
Au  0.5171  0.5172  0.8191
Au  0.4829  0.4828  0.1809
Au  0.0079  0.0079  0.6595
Au  0.9921  0.9921  0.3405

Results
The total energy comes out at -18.45 eV for the cell shown. Its space group is C2/m, No. 12. The energy relative to the elements is -0.0702 eV/atom.

Computed, not measured: an optimized crystal structure of Cd2Sn2Au3 at the GGA-PBE level of DFT.

a b c (Å): 4.4535 5.8246 6.9939
angles (deg): 109.39 108.57 90.00
Atoms (fractional coordinates):
Cd  0.8238  0.6874  0.6475
Cd  0.1762  0.3126  0.3525
Sn  0.5649  0.8332  0.1298
Sn  0.4351  0.1668  0.8702
Au  0.0000  0.5000  0.0000
Au  0.2183  0.8267  0.4365
Au  0.7817  0.1733  0.5635

Results
The total energy comes out at -20.75 eV for the cell shown. Its space group is C2/m, No. 12. The energy relative to the elements is -0.1545 eV/atom.

Computed, not measured: an optimized crystal structure of Cd2SnAu8 at the GGA-PBE level of DFT.

a b c (Å): 5.2681 5.8366 7.8544
angles (deg): 114.29 86.75 88.97
Atoms (fractional coordinates):
Cd  0.1909  0.6562  0.3139
Cd  0.8091  0.3438  0.6861
Sn  0.5000  0.0000  0.0000
Au  0.6681  0.9099  0.3312
Au  0.3281  0.5813  0.6664
Au  0.1568  0.1677  0.3386
Au  0.9958  0.2539  0.9980
Au  0.8432  0.8323  0.6614
Au  0.6719  0.4187  0.3336
Au  0.3319  0.0901  0.6688
Au  0.0042  0.7461  0.0020

Results
The total energy comes out at -33.00 eV for the cell shown. Its space group is P-1, No. 2. The energy relative to the elements is -0.0861 eV/atom.